Density functional theory data (GGA+U) for a relaxed structure of LiNiP3O9.

Output
**Energy relative to the lowest polymorph listed for this composition**: 71 kJ/mol of formula units
**Theoretical density**: 2.868 g/cm3
**Total magnetization**: 0.148 μB/atom
**Final energy**: -6.69 eV per atom
**DOS(E_F)**: 0.000 states/eV per atom

abc: 5.200 10.474 12.866
angles: 90.00 90.00 90.00
Site moments in Bohr magnetons follow the coordinates.
Atoms (fractional coordinates):
Li (0.124, 0.108, 0.075)  0.00
Li (0.624, 0.392, 0.925)  0.00
Li (0.876, 0.608, 0.425)  0.00
Li (0.376, 0.892, 0.575)  0.00
Ni (0.518, 0.034, 0.899)  1.82
Ni (0.018, 0.466, 0.101)  1.82
Ni (0.482, 0.534, 0.601)  1.82
Ni (0.982, 0.966, 0.399)  1.82
P (0.871, 0.063, 0.622)  0.00
P (0.456, 0.159, 0.359)  0.01
P (0.998, 0.179, 0.823)  0.00
P (0.498, 0.321, 0.177)  0.00
P (0.956, 0.341, 0.641)  0.01
P (0.371, 0.437, 0.378)  0.00
P (0.129, 0.563, 0.878)  0.00
P (0.544, 0.659, 0.141)  0.01
P (0.002, 0.679, 0.677)  0.00
P (0.502, 0.821, 0.323)  0.00
P (0.044, 0.841, 0.859)  0.01
P (0.629, 0.937, 0.122)  0.00
O (0.466, 0.026, 0.056)  0.04
O (0.594, 0.033, 0.635)  0.01
O (0.656, 0.078, 0.409)  0.03
O (0.008, 0.068, 0.736)  0.00
O (0.186, 0.112, 0.347)  0.04
O (0.728, 0.196, 0.867)  0.02
O (0.205, 0.155, 0.902)  0.02
O (0.569, 0.199, 0.245)  0.01
O (0.940, 0.205, 0.581)  0.01
O (0.440, 0.295, 0.419)  0.01
O (0.069, 0.301, 0.755)  0.01
O (0.705, 0.345, 0.098)  0.02
O (0.228, 0.304, 0.133)  0.02
O (0.686, 0.388, 0.653)  0.04
O (0.508, 0.432, 0.264)  0.00
O (0.156, 0.422, 0.591)  0.03
O (0.094, 0.467, 0.365)  0.01
O (0.966, 0.474, 0.944)  0.04
O (0.534, 0.526, 0.444)  0.04
O (0.406, 0.533, 0.865)  0.01
O (0.344, 0.578, 0.091)  0.03
O (0.992, 0.568, 0.764)  0.00
O (0.814, 0.612, 0.153)  0.04
O (0.272, 0.696, 0.633)  0.02
O (0.795, 0.655, 0.598)  0.02
O (0.431, 0.699, 0.255)  0.01
O (0.060, 0.705, 0.919)  0.01
O (0.560, 0.795, 0.081)  0.01
O (0.931, 0.801, 0.745)  0.01
O (0.295, 0.845, 0.402)  0.02
O (0.772, 0.804, 0.367)  0.02
O (0.314, 0.888, 0.847)  0.04
O (0.492, 0.932, 0.236)  0.00
O (0.844, 0.922, 0.909)  0.03
O (0.906, 0.967, 0.135)  0.01
O (0.034, 0.974, 0.556)  0.04